[1]
# SrZrCrSi2 GGA-PBE relaxed
# Uncorrected formation energy: 67.69 kJ/mol of atoms
# Magnetization: 0.01 μB/f.u.
# V: 104.4 Å³ per cell
data_SrZrCrSi2
_symmetry_space_group_name_H-M 'P 4/m m m'
_symmetry_Int_Tables_number 123
_symmetry_space_group_name_Hall '-P 4 2'
_cell_length_a 4.583
_cell_length_b 4.583
_cell_length_c 4.972
_cell_angle_alpha 90.00
_cell_angle_beta 90.00
_cell_angle_gamma 90.00
loop_
_atom_site_label
_atom_site_type_symbol
_atom_site_fract_x
_atom_site_fract_y
_atom_site_fract_z
_atom_site_occupancy
Sr1 Sr 0.000 0.000 0.000 1
Zr1 Zr 0.500 0.500 0.000 1
Cr1 Cr 0.000 0.000 0.500 1
Si1 Si 0.000 0.500 0.500 1

[2]
# RbCeCl3 GGA-PBE relaxed
# Uncorrected formation energy: -177.95 kJ/mol of atoms
# Magnetization: 1.91 μB/f.u.
# V: 179.9 Å³ per cell
data_RbCeCl3
_symmetry_space_group_name_H-M 'P m -3 m'
_symmetry_Int_Tables_number 221
_symmetry_space_group_name_Hall '-P 4 2 3'
_cell_length_a 5.645
_cell_length_b 5.645
_cell_length_c 5.645
_cell_angle_alpha 90.00
_cell_angle_beta 90.00
_cell_angle_gamma 90.00
loop_
_atom_site_label
_atom_site_type_symbol
_atom_site_fract_x
_atom_site_fract_y
_atom_site_fract_z
_atom_site_occupancy
Rb1 Rb 0.000 0.000 0.000 1
Ce1 Ce 0.500 0.500 0.500 1
Cl1 Cl 0.000 0.500 0.500 1

[3]
# TaBe5Cr GGA-PBE relaxed
# Magnetization: 0.01 μB/f.u.
# Formation energy from the elements: -0.1289 eV/atom
# V: 274.3 Å³ per cell
data_TaBe5Cr
_symmetry_space_group_name_H-M 'P n m a'
_symmetry_Int_Tables_number 62
_cell_length_a 7.131
_cell_length_b 4.343
_cell_length_c 8.856
_cell_angle_alpha 90.00
_cell_angle_beta 90.00
_cell_angle_gamma 90.00
loop_
_symmetry_equiv_pos_as_xyz
'x,y,z'
'-x,-y,-z'
'-x+1/2,-y,z+1/2'
'x+1/2,y,-z+1/2'
'x+1/2,-y+1/2,-z+1/2'
'-x+1/2,y+1/2,z+1/2'
'-x,y+1/2,-z'
'x,-y+1/2,z'
loop_
_atom_site_label
_atom_site_type_symbol
_atom_site_fract_x
_atom_site_fract_y
_atom_site_fract_z
_atom_site_occupancy
Ta1 Ta 0.243 0.250 0.071 1
Be1 Be 0.050 0.750 0.116 1
Be2 Be 0.071 0.009 0.317 1
Be3 Be 0.086 0.250 0.518 1
Be4 Be 0.187 0.250 0.750 1
Cr1 Cr 0.122 0.750 0.876 1

[4]
# Ti7AlGa5 GGA-PBE relaxed
# Magnetization: 0.22 μB/f.u.
# Formation energy from the elements: -0.2384 eV/atom
# V: 438.3 Å³ per cell
data_Ti7AlGa5
_symmetry_space_group_name_H-M 'I m m 2'
_symmetry_Int_Tables_number 44
_cell_length_a 5.226
_cell_length_b 9.118
_cell_length_c 9.197
_cell_angle_alpha 90.00
_cell_angle_beta 90.00
_cell_angle_gamma 90.00
loop_
_symmetry_equiv_pos_as_xyz
'x,y,z'
'-x,-y,z'
'-x,y,z'
'x,-y,z'
'x+1/2,y+1/2,z+1/2'
'-x+1/2,-y+1/2,z+1/2'
'-x+1/2,y+1/2,z+1/2'
'x+1/2,-y+1/2,z+1/2'
loop_
_atom_site_label
_atom_site_type_symbol
_atom_site_fract_x
_atom_site_fract_y
_atom_site_fract_z
_atom_site_occupancy
Ti1 Ti 0.000 0.000 0.000 1
Ti2 Ti 0.000 0.000 0.271 1
Ti3 Ti 0.000 0.329 0.109 1
Ti4 Ti 0.000 0.347 0.613 1
Ti5 Ti 0.000 0.500 0.345 1
Al1 Al 0.000 0.000 0.664 1
Ga1 Ga 0.000 0.500 0.868 1
Ga2 Ga 0.249 0.243 0.863 1

- Among the records above, which one has the lowest V?
  SrZrCrSi2